Computed, not measured: a geometry-optimized InPtW2 structure at the PBEsol level of DFT. Values from VASP.

Formation enthalpy at 0 K in eV/atom: 0.1319
VASP energy in eV per formula unit: -37.0
Calculated density in g cm⁻³: 17.37
SG: I4/mmm, No. 139

Geometry as Quantum ESPRESSO input:
```
&SYSTEM
  ibrav = 0, nat = 8, ntyp = 3
/
ATOMIC_SPECIES
In 114.82 In.upf
Pt 195.08 Pt.upf
W 183.84 W.upf
CELL_PARAMETERS angstrom
3.8564 0.0000 0.0000
0.0000 3.8564 0.0000
0.0000 0.0000 8.7122
ATOMIC_POSITIONS angstrom
In 0.0000 0.0000 0.0000
In 1.9282 1.9282 4.3561
Pt 0.0000 0.0000 4.3561
Pt 1.9282 1.9282 0.0000
W 0.0000 1.9282 2.1780
W 0.0000 1.9282 6.5341
W 1.9282 0.0000 2.1780
W 1.9282 0.0000 6.5341
```